(1)
{
  "formula": "Li2PbF6",
  "functional": "PBE",
  "state": "optimized geometry",
  "de_polymorph_mev_per_atom": 31.7,
  "spacegroup": "C2/m",
  "n_ef_per_ev_atom": 0.000,
  "crystal_system": "monoclinic",
  "e_form_raw_mev_per_atom": -2367,
  "cell": [[5.229, -1.935, 0.000], [5.229, 1.935, 0.000], [-3.809, 0.000, 5.515]],
  "species": ["Li", "Li", "Pb", "F", "F", "F", "F", "F", "F"],
  "fractional_positions": [[0.178, 0.178, 0.116], [0.822, 0.822, 0.884], [0.000, 0.000, 0.500], [0.027, 0.027, 0.209], [0.237, 0.237, 0.839], [0.370, 0.370, 0.458], [0.630, 0.630, 0.542], [0.763, 0.763, 0.161], [0.973, 0.973, 0.791]]
}

(2)
{
  "formula": "Cs2Nd2SnO6",
  "functional": "PBE",
  "state": "optimized geometry",
  "spacegroup": "C2/m",
  "n_ef_per_ev_atom": 0.000,
  "crystal_system": "monoclinic",
  "e_form_raw_mev_per_atom": -2281,
  "cell": [[3.079, -5.289, 0.000], [3.079, 5.289, 0.000], [-1.905, 0.000, 7.066]],
  "species": ["Cs", "Cs", "Nd", "Nd", "Sn", "O", "O", "O", "O", "O", "O"],
  "fractional_positions": [[0.166, 0.834, 0.000], [0.834, 0.166, 0.000], [0.335, 0.665, 0.500], [0.665, 0.335, 0.500], [0.000, 0.000, 0.500], [0.045, 0.353, 0.657], [0.247, 0.247, 0.341], [0.353, 0.045, 0.657], [0.647, 0.955, 0.343], [0.753, 0.753, 0.659], [0.955, 0.647, 0.343]]
}

(3)
{
  "formula": "Y4ZrTl5",
  "functional": "PBE",
  "state": "optimized geometry",
  "spacegroup": "P4/mmm",
  "n_ef_per_ev_atom": 0.660,
  "crystal_system": "tetragonal",
  "e_form_ev_per_fu": -2.95,
  "cell": [[3.606, 0.000, 0.000], [0.000, 3.606, 0.000], [0.000, 0.000, 20.318]],
  "species": ["Y", "Y", "Y", "Y", "Zr", "Tl", "Tl", "Tl", "Tl", "Tl"],
  "fractional_positions": [[0.000, 0.000, 0.103], [0.000, 0.000, 0.307], [0.000, 0.000, 0.693], [0.000, 0.000, 0.897], [0.000, 0.000, 0.500], [0.500, 0.500, 0.000], [0.500, 0.500, 0.204], [0.500, 0.500, 0.407], [0.500, 0.500, 0.593], [0.500, 0.500, 0.796]]
}